Record 1
Compound: Ce2Y3Th2
Source: the Alexandria database
Functional: PBE
Structure: relaxed

a b c (Å): 5.5105 5.5105 8.5601
angles (deg): 98.19 103.66 114.33
Last column: nearest neighbours and their distance in Å.
Positions (direct):
1 Th 0.4286 0.7043 0.1328  4 Ce 3.35-3.54, 1 Th 3.42, 5 Y 3.44-3.70
2 Y 0.2857 0.1435 0.4292  4 Y 3.44-3.48, 4 Ce 3.48-3.59, 2 Th 3.53-3.70
3 Y 0.0000 0.0000 0.0000  6 Th 3.44-3.46, 2 Y 3.47, 2 Ce 3.61
4 Ce 0.1495 0.5696 0.7190  4 Th 3.35-3.54, 5 Y 3.48-3.61, 1 Ce 3.55
5 Y 0.7143 0.8565 0.5708  4 Y 3.44-3.48, 4 Ce 3.48-3.59, 2 Th 3.53-3.70
6 Th 0.5714 0.2957 0.8672  4 Ce 3.35-3.54, 1 Th 3.42, 5 Y 3.44-3.70
7 Ce 0.8505 0.4304 0.2810  4 Th 3.35-3.54, 5 Y 3.48-3.61, 1 Ce 3.55

Values from the calculation:
ΔE_f in eV per atom: 0.179
VASP energy in eV per atom: -6.407

Record 2
Compound: BaTbSe2O8
Source: the Alexandria database
Functional: PBE
Structure: relaxed

a b c (Å): 5.7984 5.7984 7.8000
angles (deg): 90.00 90.00 120.00
Last column: nearest neighbours and their distance in Å.
Positions (direct):
1 O 0.6667 0.3333 0.0270  1 Se 1.67
2 O 0.1648 0.3315 0.6973  1 Se 1.75
3 O 0.3333 0.6667 0.9730  1 Se 1.67
4 Ba 0.0000 0.0000 0.0000  6 O 2.89
5 O 0.6685 0.8333 0.6973  1 Se 1.75
6 O 0.1667 0.8352 0.6973  1 Se 1.75
7 O 0.3315 0.1667 0.3027  1 Se 1.75
8 Se 0.6667 0.3333 0.2414  4 O 1.67-1.75
9 O 0.8333 0.1648 0.3027  1 Se 1.75
10 O 0.8352 0.6685 0.3027  1 Se 1.75
11 Se 0.3333 0.6667 0.7586  4 O 1.67-1.75
12 Tb 0.0000 0.0000 0.5000  6 O 2.27

Values from the calculation:
VASP energy in eV per atom: -6.088
Formation energy from raw total energies in meV/atom: -1655

Record 3
Compound: ScPaTcSb
Source: the Alexandria database
Functional: PBE
Structure: relaxed

a b c (Å): 4.8451 4.8451 4.8451
angles (deg): 60.00 60.00 60.00
Last column: nearest neighbours and their distance in Å.
Positions (direct):
1 Sc 0.7500 0.7500 0.7500  4 Pa 2.97, 4 Sb 2.97
2 Pa 0.5000 0.5000 0.5000  4 Tc 2.97, 4 Sc 2.97
3 Sb 0.0000 0.0000 0.0000  4 Tc 2.97, 4 Sc 2.97
4 Tc 0.2500 0.2500 0.2500  4 Sb 2.97, 4 Pa 2.97

Values from the calculation:
VASP energy in eV per atom: -7.797
Formation energy from raw total energies in meV/atom: -218